! Pr6P2Se3S PBE optimized geometry; values from VASP
! Fermi-level density of states   0.38 states/eV/atom
! Symmetry   C2/m
! E   -76.1 eV/cell
&SYSTEM
  ibrav = 0, nat = 12, ntyp = 4
/
ATOMIC_SPECIES
Se 78.96 Se.upf
Pr 140.91 Pr.upf
S 32.06 S.upf
P 30.97 P.upf
CELL_PARAMETERS angstrom
4.195 0.000 0.000
0.000 8.499 0.221
-2.098 -2.536 8.900
ATOMIC_POSITIONS crystal
Se 0.166 0.834 0.332
Se 0.834 0.166 0.668
Se 0.500 0.500 0.000
Pr 0.336 0.903 0.671
Pr 0.328 0.427 0.656
Pr 0.994 0.758 0.988
Pr 0.664 0.097 0.329
Pr 0.006 0.242 0.012
Pr 0.672 0.573 0.344
S 0.500 0.000 0.000
P 0.166 0.332 0.332
P 0.834 0.668 0.668